[1]
A relaxed structure of Ho2PuPaAs4. Source: Alexandria via LeMat-Bulk, functional PBE.

Lattice parameters (Å, degrees): 7.102 4.115 7.108 90.00 109.53 90.00
Space group P2/m (No. 10)
Inequivalent atoms, fractional coordinates:
Ho  0.000  0.000  0.000
Ho  0.000  0.500  0.500
Pu  0.500  0.000  0.500
Pa  0.500  0.500  0.000
As  0.250  0.000  0.753
As  0.251  0.500  0.247

Results
Electronic total energy   -61.951 eV per formula unit
Formation energy   -1.296 eV/atom

***

[2]
A relaxed structure of HoScPa2As4. Source: Alexandria via LeMat-Bulk, functional PBE.

Lattice parameters (Å, degrees): 6.978 4.054 7.017 90.00 109.59 90.00
Space group P2/m (No. 10)
Inequivalent atoms, fractional coordinates:
Ho  0.000  0.000  0.000
Sc  0.000  0.500  0.500
Pa  0.500  0.000  0.500
Pa  0.500  0.500  0.000
As  0.241  0.000  0.741
As  0.245  0.500  0.254

Results
Electronic total energy   -58.326 eV per formula unit
Formation energy   -1.228 eV/atom

***

[3]
A relaxed structure of HoPaAsSe. Source: Alexandria via LeMat-Bulk, functional PBE.

Lattice parameters (Å, degrees): 3.9410 3.9410 21.8729 90.00 90.00 120.00
Space group R3m (No. 160, hexagonal axes)
Inequivalent atoms, fractional coordinates:
Ho  0.0000  0.0000  0.0000
Pa  0.0000  0.0000  0.8216
As  0.0000  0.0000  0.4094
Se  0.0000  0.0000  0.2443

Results
Electronic total energy   -27.384 eV per formula unit

***

[4]
A relaxed structure of Sm2HoPaAs4. Source: Alexandria via LeMat-Bulk, functional PBE.

Lattice parameters (Å, degrees): 7.165 4.156 7.200 90.00 109.44 90.00
Space group P2/m (No. 10)
Inequivalent atoms, fractional coordinates:
Sm  0.000  0.000  0.000
Sm  0.500  0.500  0.000
Ho  0.000  0.500  0.500
Pa  0.500  0.000  0.500
As  0.250  0.000  0.740
As  0.255  0.500  0.260

Results
Electronic total energy   -53.447 eV per formula unit
Formation energy   -1.417 eV/atom

***

[5]
A relaxed structure of Sm3Ho2PaAs6. Source: Alexandria via LeMat-Bulk, functional PBE.

Lattice parameters (Å, degrees): 7.181 12.439 7.203 90.00 109.37 90.00
Space group C2/m (No. 12)
Inequivalent atoms, fractional coordinates:
Sm  0.000  0.000  0.000
Sm  0.000  0.332  0.000
Ho  0.000  0.166  0.500
Pa  0.000  0.500  0.500
As  0.245  0.335  0.741
As  0.249  0.500  0.260

Results
Electronic total energy   -78.288 eV per formula unit
Formation energy   -1.465 eV/atom

***

[6]
A relaxed structure of SmHoPa2As4. Source: Alexandria via LeMat-Bulk, functional PBE.

Lattice parameters (Å, degrees): 7.133 4.120 7.137 90.00 109.48 90.00
Space group P2/m (No. 10)
Inequivalent atoms, fractional coordinates:
Sm  0.000  0.000  0.000
Ho  0.000  0.500  0.500
Pa  0.500  0.000  0.500
Pa  0.500  0.500  0.000
As  0.254  0.000  0.748
As  0.256  0.500  0.255

Results
Electronic total energy   -57.108 eV per formula unit
Formation energy   -1.278 eV/atom

***

Ρ per entry: 9.4; 8.6; 9.3; 8.2; 8.0; 9.0 g cm⁻³